This record from Alexandria describes an optimized crystal structure of CaGeTe2. The functional is PBE.

Output
- DFT total energy (eV per atom) = -3.974
- formation energy from raw total energies (eV/f.u.) = -3.0
- theoretical density (Mg/m³) = 5.00
- magnetic moment (μB/f.u.) = 0.00

Unit cell a=7.9131 b=7.9131 c=7.9131 alpha=31.79 beta=31.79 gamma=31.79
Sites, in units of the cell vectors:
Ca (0.0000, 0.0000, 0.0000)
Ge (0.1675, 0.1675, 0.1675)
Te (0.5773, 0.5773, 0.5773)
Te (0.7574, 0.7574, 0.7574)